No. 1
Below is a relaxed Sc2AlCuTe crystal, with properties calculated at the PBE level.

Calculated values
Mass density in g/cm3: 3.8
Excess energy over the best structure of this formula in the dataset in eV per atom: 0.268
Space group: P4/mmm
Spin magnetization in μB per formula unit: 0.0
Formation energy from raw total energies in eV/atom: 0.26

a b c (Å): 5.325 5.325 4.709
angles (deg): 90.00 90.00 90.00
Fractional positions:
Sc  0.000  0.500  0.000
Sc  0.500  0.000  0.000
Al  0.000  0.000  0.500
Cu  0.500  0.500  0.500
Te  0.500  0.500  0.000

No. 2
Below is a relaxed Sc2AlCuTe crystal, with properties calculated at the PBE level.

Calculated values
Mass density in g/cm3: 4.2
Excess energy over the best structure of this formula in the dataset in eV per atom: 0.000
Space group: P4/mmm
Spin magnetization in μB per formula unit: 0.0
Formation energy from raw total energies in eV/atom: -0.01

a b c (Å): 5.216 5.216 4.439
angles (deg): 90.00 90.00 90.00
Fractional positions:
Sc  0.000  0.500  0.000
Sc  0.500  0.000  0.000
Al  0.000  0.000  0.000
Cu  0.000  0.000  0.500
Te  0.500  0.500  0.500

No. 3
Below is a relaxed ThSc2AlCu4 crystal, with properties calculated at the PBE level.

Calculated values
Mass density in g/cm3: 6.9
Space group: R-3m
ΔH_f (0 K) in eV per atom: -0.22
Spin magnetization in μB per formula unit: 0.0

a b c (Å): 8.809 8.809 8.809
angles (deg): 29.38 29.38 29.38
Fractional positions:
Th  0.000  0.000  0.000
Sc  0.236  0.236  0.236
Sc  0.764  0.764  0.764
Al  0.500  0.500  0.500
Cu  0.124  0.124  0.124
Cu  0.400  0.400  0.400
Cu  0.600  0.600  0.600
Cu  0.876  0.876  0.876

No. 4
Below is a relaxed ThScAl2Cu4 crystal, with properties calculated at the PBE level.

Calculated values
Mass density in g/cm3: 7.2
Space group: R-3m
ΔH_f (0 K) in eV per atom: -0.36
Spin magnetization in μB per formula unit: 0.0

a b c (Å): 8.671 8.671 8.671
angles (deg): 29.00 29.00 29.00
Fractional positions:
Th  0.000  0.000  0.000
Sc  0.500  0.500  0.500
Al  0.239  0.239  0.239
Al  0.761  0.761  0.761
Cu  0.124  0.124  0.124
Cu  0.397  0.397  0.397
Cu  0.603  0.603  0.603
Cu  0.876  0.876  0.876